No. 1
Here is a relaxed structure of Rb2AgSeCl6 from Alexandria via LeMat-Bulk. Energies are from PBE-GGA.

## Properties
Energy: -2.928 eV per atom

Unit cell a=7.387 b=7.387 c=10.993 alpha=90.00 beta=90.00 gamma=90.00
Space group I4/mmm (No. 139)
One atom of each set of equivalent atoms:
Rb 0.000 0.500 0.250
Ag 0.000 0.000 0.000
Se 0.000 0.000 0.500
Cl 0.000 0.000 0.224
Cl 0.233 0.233 0.500


No. 2
Here is a relaxed structure of RbAgSe2Cl from Alexandria via LeMat-Bulk. Energies are from PBE-GGA.

## Properties
Energy: -2.852 eV per atom

Unit cell a=5.078 b=5.078 c=5.838 alpha=90.00 beta=90.00 gamma=90.00
Space group P4/mmm (No. 123)
One atom of each set of equivalent atoms:
Rb 0.000 0.000 0.000
Ag 0.500 0.500 0.500
Se 0.000 0.500 0.500
Cl 0.500 0.500 0.000


No. 3
Here is a relaxed structure of Rb3SmAg2Cl9 from Alexandria via LeMat-Bulk. Energies are from PBE-GGA.

## Properties
Energy: -3.533 eV per atom

Unit cell a=7.5192 b=7.5192 c=9.3587 alpha=90.00 beta=90.00 gamma=120.00
Space group P-3m1 (No. 164)
One atom of each set of equivalent atoms:
Rb 0.0000 0.0000 0.0000
Rb 0.3333 0.6667 0.7014
Sm 0.0000 0.0000 0.5000
Ag 0.3333 0.6667 0.1535
Cl 0.0000 0.5000 0.0000
Cl 0.1673 0.3346 0.3318


Number 1: formation energy from raw total energies -993 meV per atom. Number 2: formation energy from raw total energies -325 meV per atom. Number 3: formation energy from raw total energies -1537 meV per atom.